P) DFT (GGA-PBE) results for a relaxed BaAl2Te2 crystal.

Computed properties:
N(E_F) (states/eV per atom): 0.3837
Size of the total moment (μB per formula unit): 0.000
Calculated volume (A^3/atom): 30.06

Cell and atoms, written as POSCAR:
```
BaAl2Te2
1.0
-2.829 2.829 4.696
2.829 -2.829 4.696
2.829 2.829 -4.696
Ba Al Te
1 2 2
Direct
0.000 0.000 0.000
0.354 0.354 0.000
0.646 0.646 0.000
0.250 0.750 0.500
0.750 0.250 0.500
```

***

Q) DFT (GGA-PBE) results for a relaxed BaAl2Te2 crystal.

Computed properties:
N(E_F) (states/eV per atom): 0.4063
Size of the total moment (μB per formula unit): 0.000
Calculated volume (A^3/atom): 30.53

Cell and atoms, written as POSCAR:
```
BaAl2Te2
1.0
-2.048 2.048 9.101
2.048 -2.048 9.101
2.048 2.048 -9.101
Ba Al Te
1 2 2
Direct
0.000 0.000 0.000
0.250 0.750 0.500
0.750 0.250 0.500
0.386 0.386 0.000
0.614 0.614 0.000
```

***

Quick one: most stable of them? P)